La5HoEr6 PBE optimized geometry; density of states at the Fermi level = 18.069 states/eV per cell; magnetic moment = 0.000 μB/atom; formation energy from the elements = 0.35 eV/f.u.; space group = No. 12
1.0
6.1500 -0.0470 0.1598
-0.0175 6.7875 2.7843
0.1512 0.0400 9.5804
La Er Ho
5 6 1
Direct
0.6696 0.1642 0.6716
0.3304 0.8358 0.3284
0.6665 0.6670 0.6660
0.0000 0.5000 0.0000
0.3335 0.3330 0.3340
0.4999 0.7516 0.0000
0.8314 0.0838 0.3311
0.5001 0.2484 0.0000
0.8316 0.5852 0.3311
0.1686 0.9162 0.6689
0.1684 0.4148 0.6689
0.0000 0.0000 0.0000